(1)
Below is an optimized crystal structure of SrBe3Cr, with properties calculated at the GGA-PBE level.

Summary:
space-group type = No. 221
energy of formation = 2.3886 eV per atom

```
SrBe3Cr
1.0
5.1745 0.0000 0.0000
0.0000 5.1745 0.0000
0.0000 0.0000 5.1745
Sr Be Cr
1 3 1
direct
0.0000 0.0000 0.0000
0.0000 0.5000 0.0000
0.0000 0.0000 0.5000
0.5000 0.0000 0.0000
0.5000 0.5000 0.5000
```

***

(2)
Below is an optimized crystal structure of Sr2Be2Cr, with properties calculated at the GGA-PBE level.

Summary:
space-group type = No. 139
energy of formation = 0.6748 eV per atom

```
Sr2Be2Cr
1.0
-2.9662 2.9662 3.6677
2.9662 -2.9662 3.6677
2.9662 2.9662 -3.6677
Sr Be Cr
2 2 1
direct
0.7500 0.2500 0.5000
0.2500 0.7500 0.5000
0.6409 0.6409 0.0000
0.3591 0.3591 0.0000
0.0000 0.0000 0.0000
```

***

Per-record raw total energy, eV for the cell shown: -10.54, -17.07
Per-record magnetization, μB per formula unit: 4.420, 4.315
Per-record ρ, g/cm3: 1.997, 3.155